A geometry-optimized TbDy2Ag structure. Source: Alexandria, functional PBE-GGA.

* offset from the most stable computed form: 135 meV per atom
* energy of formation: 0.48 kJ/mol of atoms
* energy: -4.17 eV per atom
* DOS(E_F): 4.822 states/eV/cell

```
data_TbDy2Ag
_chemical_formula_sum 'Tb1 Dy2 Ag1'
_space_group_name_H-M_alt 'P 4/m m m'
_space_group_IT_number 123
_space_group_name_Hall '-P 4 2'
_cell_length_a 5.457
_cell_length_b 5.457
_cell_length_c 3.683
_cell_angle_alpha 90.00
_cell_angle_beta 90.00
_cell_angle_gamma 90.00
loop_
_atom_site_label
_atom_site_type_symbol
_atom_site_fract_x
_atom_site_fract_y
_atom_site_fract_z
Tb1 Tb 0.000 0.000 0.000
Dy1 Dy 0.000 0.500 0.500
Ag1 Ag 0.500 0.500 0.000
```

A geometry-optimized Be2CuTc structure. Source: Alexandria, functional PBE-GGA.

* offset from the most stable computed form: 148 meV per atom
* energy of formation: 0.06 kJ/mol of atoms
* energy: -5.48 eV per atom
* DOS(E_F): 1.508 states/eV/cell

```
data_Be2CuTc
_chemical_formula_sum 'Be2 Cu1 Tc1'
_space_group_name_H-M_alt 'P 4 m m'
_space_group_IT_number 99
_cell_length_a 2.658
_cell_length_b 2.658
_cell_length_c 5.976
_cell_angle_alpha 90.00
_cell_angle_beta 90.00
_cell_angle_gamma 90.00
loop_
_space_group_symop_operation_xyz
'x,y,z'
'-y,x,z'
'-x,-y,z'
'y,-x,z'
'-x,y,z'
'y,x,z'
'x,-y,z'
'-y,-x,z'
loop_
_atom_site_label
_atom_site_type_symbol
_atom_site_fract_x
_atom_site_fract_y
_atom_site_fract_z
Be1 Be 0.000 0.000 0.000
Be2 Be 0.500 0.500 0.189
Cu1 Cu 0.000 0.000 0.410
Tc1 Tc 0.500 0.500 0.737
```

A geometry-optimized LiAcSmTe3 structure. Source: Alexandria, functional PBE-GGA.

* formation energy (no corrections): -790 kJ/mol of formula units
* energy: -4.73 eV per atom
* DOS(E_F): 6.042 states/eV/cell

```
data_LiAcSmTe3
_chemical_formula_sum 'Li2 Ac2 Sm2 Te6'
_space_group_name_H-M_alt 'P 1 21/m 1'
_space_group_IT_number 11
_cell_length_a 9.293
_cell_length_b 4.433
_cell_length_c 9.778
_cell_angle_alpha 90.00
_cell_angle_beta 104.25
_cell_angle_gamma 90.00
loop_
_space_group_symop_operation_xyz
'x,y,z'
'-x,-y,-z'
'-x,y+1/2,-z'
'x,-y+1/2,z'
loop_
_atom_site_label
_atom_site_type_symbol
_atom_site_fract_x
_atom_site_fract_y
_atom_site_fract_z
Li1 Li 0.087 0.250 0.089
Ac1 Ac 0.189 0.250 0.733
Sm1 Sm 0.337 0.750 0.349
Te1 Te 0.097 0.250 0.373
Te2 Te 0.222 0.750 0.008
Te3 Te 0.438 0.750 0.683
```

A geometry-optimized Ce2AlV2Ru5 structure. Source: Alexandria, functional PBE-GGA.

* energy of formation: -20.88 kJ/mol of atoms
* energy: -8.24 eV per atom
* DOS(E_F): 17.742 states/eV/cell

```
data_Ce2AlV2Ru5
_chemical_formula_sum 'Ce4 Al2 V4 Ru10'
_space_group_name_H-M_alt 'P 4/m b m'
_space_group_IT_number 127
_space_group_name_Hall '-P 4 2ab'
_cell_length_a 10.322
_cell_length_b 10.322
_cell_length_c 3.098
_cell_angle_alpha 90.00
_cell_angle_beta 90.00
_cell_angle_gamma 90.00
loop_
_atom_site_label
_atom_site_type_symbol
_atom_site_fract_x
_atom_site_fract_y
_atom_site_fract_z
Ce1 Ce 0.180 0.320 0.000
Al1 Al 0.000 0.000 0.000
V1 V 0.139 0.639 0.000
Ru1 Ru 0.000 0.500 0.500
Ru2 Ru 0.039 0.797 0.500
```

A geometry-optimized ErZn6Au3 structure. Source: Alexandria, functional PBE-GGA.

* energy of formation: -25.79 kJ/mol of atoms
* energy: -2.47 eV per atom
* DOS(E_F): 7.242 states/eV/cell

```
data_ErZn6Au3
_chemical_formula_sum 'Er2 Zn12 Au6'
_space_group_name_H-M_alt 'P 1 21/m 1'
_space_group_IT_number 11
_cell_length_a 8.685
_cell_length_b 4.003
_cell_length_c 10.825
_cell_angle_alpha 90.00
_cell_angle_beta 103.66
_cell_angle_gamma 90.00
loop_
_space_group_symop_operation_xyz
'x,y,z'
'-x,-y,-z'
'-x,y+1/2,-z'
'x,-y+1/2,z'
loop_
_atom_site_label
_atom_site_type_symbol
_atom_site_fract_x
_atom_site_fract_y
_atom_site_fract_z
Er1 Er 0.011 0.250 0.239
Zn1 Zn 0.095 0.750 0.465
Zn2 Zn 0.204 0.250 0.661
Zn3 Zn 0.214 0.250 0.932
Zn4 Zn 0.340 0.250 0.202
Zn5 Zn 0.411 0.750 0.594
Zn6 Zn 0.443 0.750 0.076
Au1 Au 0.125 0.750 0.077
Au2 Au 0.302 0.250 0.438
Au3 Au 0.351 0.750 0.822
```

A geometry-optimized Na2ReAu2 structure. Source: Alexandria, functional PBE-GGA.

* offset from the most stable computed form: 220 meV per atom
* energy of formation: 78.41 kJ/mol of atoms
* energy: -3.52 eV per atom
* DOS(E_F): 4.068 states/eV/cell

```
data_Na2ReAu2
_chemical_formula_sum 'Na4 Re2 Au4'
_space_group_name_H-M_alt 'I 4/m m m'
_space_group_IT_number 139
_space_group_name_Hall '-I 4 2'
_cell_length_a 3.606
_cell_length_b 3.606
_cell_length_c 14.463
_cell_angle_alpha 90.00
_cell_angle_beta 90.00
_cell_angle_gamma 90.00
loop_
_atom_site_label
_atom_site_type_symbol
_atom_site_fract_x
_atom_site_fract_y
_atom_site_fract_z
Na1 Na 0.000 0.500 0.250
Re1 Re 0.000 0.000 0.000
Au1 Au 0.000 0.000 0.407
```

A geometry-optimized SrLi2Os structure. Source: Alexandria, functional PBE-GGA.

* offset from the most stable computed form: 162 meV per atom
* energy of formation: 63.54 kJ/mol of atoms
* energy: -3.53 eV per atom
* DOS(E_F): 5.076 states/eV/cell

```
data_SrLi2Os
_chemical_formula_sum 'Sr1 Li2 Os1'
_space_group_name_H-M_alt 'P 4/m m m'
_space_group_IT_number 123
_space_group_name_Hall '-P 4 2'
_cell_length_a 3.445
_cell_length_b 3.445
_cell_length_c 6.406
_cell_angle_alpha 90.00
_cell_angle_beta 90.00
_cell_angle_gamma 90.00
loop_
_atom_site_label
_atom_site_type_symbol
_atom_site_fract_x
_atom_site_fract_y
_atom_site_fract_z
Sr1 Sr 0.000 0.000 0.000
Li1 Li 0.500 0.500 0.329
Os1 Os 0.000 0.000 0.500
```

A geometry-optimized Te2PtPb structure. Source: Alexandria, functional PBE-GGA.

* formation energy (no corrections): 92 kJ/mol of formula units
* energy: -3.77 eV per atom
* DOS(E_F): 5.606 states/eV/cell

```
data_Te2PtPb
_chemical_formula_sum 'Te4 Pt2 Pb2'
_space_group_name_H-M_alt 'I -4 m 2'
_space_group_IT_number 119
_space_group_name_Hall 'I -4 -2'
_cell_length_a 4.387
_cell_length_b 4.387
_cell_length_c 10.717
_cell_angle_alpha 90.00
_cell_angle_beta 90.00
_cell_angle_gamma 90.00
loop_
_atom_site_label
_atom_site_type_symbol
_atom_site_fract_x
_atom_site_fract_y
_atom_site_fract_z
Te1 Te 0.000 0.000 0.000
Te2 Te 0.000 0.500 0.250
Pt1 Pt 0.000 0.000 0.500
Pb1 Pb 0.000 0.500 0.750
```

A geometry-optimized LaAs2Ru structure. Source: Alexandria, functional PBE-GGA.

* offset from the most stable computed form: 181 meV per atom
* energy of formation: -70.33 kJ/mol of atoms
* energy: -6.60 eV per atom
* DOS(E_F): 6.437 states/eV/cell

```
data_LaAs2Ru
_chemical_formula_sum 'La2 As4 Ru2'
_space_group_name_H-M_alt 'I -4 m 2'
_space_group_IT_number 119
_space_group_name_Hall 'I -4 -2'
_cell_length_a 4.237
_cell_length_b 4.237
_cell_length_c 10.078
_cell_angle_alpha 90.00
_cell_angle_beta 90.00
_cell_angle_gamma 90.00
loop_
_atom_site_label
_atom_site_type_symbol
_atom_site_fract_x
_atom_site_fract_y
_atom_site_fract_z
La1 La 0.000 0.000 0.000
As1 As 0.000 0.000 0.363
Ru1 Ru 0.000 0.500 0.750
```

A geometry-optimized La3HgO structure. Source: Alexandria, functional PBE-GGA.

* offset from the most stable computed form: 147 meV per atom
* formation energy (no corrections): -587 kJ/mol of formula units
* energy: -5.23 eV per atom
* DOS(E_F): 11.337 states/eV/cell

```
data_La3HgO
_chemical_formula_sum 'La6 Hg2 O2'
_space_group_name_H-M_alt 'P 63/m m c'
_space_group_IT_number 194
_space_group_name_Hall '-P 6c 2c'
_cell_length_a 4.0839
_cell_length_b 4.0839
_cell_length_c 20.6392
_cell_angle_alpha 90.00
_cell_angle_beta 90.00
_cell_angle_gamma 120.00
loop_
_atom_site_label
_atom_site_type_symbol
_atom_site_fract_x
_atom_site_fract_y
_atom_site_fract_z
La1 La 0.0000 0.0000 0.2500
La2 La 0.3333 0.6667 0.1112
Hg1 Hg 0.0000 0.0000 0.0000
O1 O 0.3333 0.6667 0.2500
```

A geometry-optimized Ba6RhAu2Cl structure. Source: Alexandria, functional PBE-GGA.

* formation energy (no corrections): -712 kJ/mol of formula units
* energy: -3.47 eV per atom
* DOS(E_F): 12.654 states/eV/cell

```
data_Ba6RhAu2Cl
_chemical_formula_sum 'Ba12 Rh2 Au4 Cl2'
_space_group_name_H-M_alt 'P 1 21/c 1'
_space_group_IT_number 14
_cell_length_a 7.883
_cell_length_b 8.731
_cell_length_c 13.898
_cell_angle_alpha 90.00
_cell_angle_beta 122.28
_cell_angle_gamma 90.00
loop_
_space_group_symop_operation_xyz
'x,y,z'
'-x,-y,-z'
'-x,y+1/2,-z+1/2'
'x,-y+1/2,z+1/2'
loop_
_atom_site_label
_atom_site_type_symbol
_atom_site_fract_x
_atom_site_fract_y
_atom_site_fract_z
Ba1 Ba 0.091 0.050 0.241
Ba2 Ba 0.239 0.695 0.076
Ba3 Ba 0.384 0.172 0.067
Rh1 Rh 0.000 0.000 0.000
Au1 Au 0.309 0.109 0.756
Cl1 Cl 0.500 0.000 0.500
```

A geometry-optimized Pr2Al4IrAu3 structure. Source: Alexandria, functional PBE-GGA.

* energy of formation: -72.01 kJ/mol of atoms
* energy: -5.07 eV per atom
* DOS(E_F): 5.926 states/eV/cell

```
data_Pr2Al4IrAu3
_chemical_formula_sum 'Pr2 Al4 Ir1 Au3'
_space_group_name_H-M_alt 'P -4 m 2'
_space_group_IT_number 115
_cell_length_a 4.367
_cell_length_b 4.367
_cell_length_c 10.587
_cell_angle_alpha 90.00
_cell_angle_beta 90.00
_cell_angle_gamma 90.00
loop_
_space_group_symop_operation_xyz
'x,y,z'
'y,-x,-z'
'-x,-y,z'
'-y,x,-z'
'-x,y,z'
'-y,-x,-z'
'x,-y,z'
'y,x,-z'
loop_
_atom_site_label
_atom_site_type_symbol
_atom_site_fract_x
_atom_site_fract_y
_atom_site_fract_z
Pr1 Pr 0.000 0.500 0.245
Al1 Al 0.000 0.000 0.500
Al2 Al 0.000 0.500 0.876
Al3 Al 0.500 0.500 0.500
Ir1 Ir 0.500 0.500 0.000
Au1 Au 0.000 0.000 0.000
Au2 Au 0.000 0.500 0.635
```

Number 1: total moment 0.00 μB per formula unit. Number 2: total moment 0.00 μB per formula unit. Number 3: total moment 0.00 μB per formula unit. Number 4: total moment 0.00 μB per formula unit. Number 5: total moment 0.00 μB per formula unit. Number 6: total moment 0.99 μB per formula unit. Number 7: total moment 0.53 μB per formula unit. Number 8: total moment 0.00 μB per formula unit. Number 9: total moment 0.00 μB per formula unit. Number 10: total moment 0.00 μB per formula unit. Number 11: total moment 0.00 μB per formula unit. Number 12: total moment 0.00 μB per formula unit.